1.
{
  "formula": "Ce2PrPuP4",
  "functional": "GGA-PBE",
  "state": "optimized geometry",
  "m_tot_mub_per_cell": 6.23,
  "vol_a3_per_atom": 24.30,
  "total_energy_ry_per_atom": -0.58724,
  "delta_e_f_ev_per_atom": -1.412,
  "lattice_angstrom": [[4.0993, 0.0000, 0.0000], [0.0000, 7.0896, -0.1312], [0.0000, 2.5001, 6.6433]],
  "species": ["Pu", "P", "P", "P", "P", "Ce", "Ce", "Pr"],
  "fractional_positions": [[0.0000, 0.5000, 0.5000], [0.5000, 0.7492, 0.2575], [0.0000, 0.2440, 0.2587], [0.0000, 0.7560, 0.7413], [0.5000, 0.2508, 0.7425], [0.0000, 0.0000, 0.0000], [0.5000, 0.0000, 0.5000], [0.5000, 0.5000, 0.0000]]
}

2.
{
  "formula": "Mg2Ga5Pd3",
  "functional": "GGA-PBE",
  "state": "optimized geometry",
  "m_tot_mub_per_cell": 0.00,
  "de_polymorph_mev_per_atom": 53.7,
  "vol_a3_per_atom": 17.88,
  "total_energy_ry_per_atom": -0.27949,
  "delta_e_f_ev_per_atom": -0.412,
  "lattice_angstrom": [[5.4376, 0.0000, 0.0000], [2.7188, 8.0611, -1.2442], [2.7188, 0.0141, 8.1566]],
  "species": ["Pd", "Pd", "Pd", "Pd", "Pd", "Pd", "Ga", "Ga", "Ga", "Ga", "Ga", "Ga", "Ga", "Ga", "Ga", "Ga", "Mg", "Mg", "Mg", "Mg"],
  "fractional_positions": [[0.6149, 0.5336, 0.2367], [0.1149, 0.2367, 0.5336], [0.8851, 0.7633, 0.4664], [0.3851, 0.4664, 0.7633], [0.7500, 0.0000, 0.0000], [0.2500, 0.0000, 0.0000], [0.2500, 0.5000, 0.5000], [0.7500, 0.5000, 0.5000], [0.5031, 0.2469, 0.2469], [0.8958, 0.9534, 0.2549], [0.0031, 0.2469, 0.2469], [0.3958, 0.2549, 0.9534], [0.9969, 0.7531, 0.7531], [0.6042, 0.7451, 0.0466], [0.4969, 0.7531, 0.7531], [0.1042, 0.0466, 0.7451], [0.3590, 0.8700, 0.4119], [0.8590, 0.4119, 0.8700], [0.6410, 0.1300, 0.5881], [0.1410, 0.5881, 0.1300]]
}